Entry 1:
## K2ScF6 (GGA-PBE)

Data for K2ScF6 after structural relaxation.

Output
SG = C2/m (12)
DFT total energy = -46.5 eV/cell

Lattice parameters (Å, degrees): 6.9639 6.9639 3.9065 103.57 103.57 53.36
With the nearest neighbours (Å) after each atom.
Fractional positions:
K 0.1674 0.1674 0.1643  8 F 2.69-2.79
K 0.8326 0.8326 0.8357  8 F 2.69-2.79
Sc 0.5000 0.5000 0.5000  8 F 2.08-2.29
F 0.1558 0.5776 0.3645  1 Sc 2.08
F 0.3086 0.6914 0.0000  2 Sc 2.29, 3 F 2.39-2.46
F 0.4224 0.8442 0.6355  1 Sc 2.08
F 0.5776 0.1558 0.3645  1 Sc 2.08
F 0.6914 0.3086 0.0000  2 Sc 2.29, 3 F 2.39-2.46
F 0.8442 0.4224 0.6355  1 Sc 2.08

---

Entry 2:
## KScF2 (GGA-PBE)

Data for KScF2 after structural relaxation.

Output
SG = R-3m (166)
ΔE to the lowest computed polymorph = 0 meV/atom

Lattice parameters (Å, degrees): 3.7097 3.7097 21.0789 90.00 90.00 120.00
With the nearest neighbours (Å) after each atom.
Fractional positions:
K 0.0000 0.0000 0.0000  6 F 2.62
K 0.3333 0.6667 0.6667  6 F 2.62
K 0.6667 0.3333 0.3333  6 F 2.62
Sc 0.0000 0.0000 0.5000  2 F 2.00
Sc 0.3333 0.6667 0.1667  2 F 2.00
Sc 0.6667 0.3333 0.8333  2 F 2.00
F 0.0000 0.0000 0.4051  1 Sc 2.00
F 0.0000 0.0000 0.5949  1 Sc 2.00
F 0.3333 0.6667 0.0718  1 Sc 2.00
F 0.3333 0.6667 0.2616  1 Sc 2.00
F 0.6667 0.3333 0.7384  1 Sc 2.00
F 0.6667 0.3333 0.9282  1 Sc 2.00

---

Entry 3:
## KScSeF2 (GGA-PBE)

Data for KScSeF2 after structural relaxation.

Output
SG = P4/mmm (123)
DFT total energy = -28.2 eV/cell

Lattice parameters (Å, degrees): 4.3316 4.3316 5.2663 90.00 90.00 90.00
With the nearest neighbours (Å) after each atom.
Fractional positions:
K 0.0000 0.0000 0.0000  4 Se 3.06, 8 F 3.41
Sc 0.5000 0.5000 0.5000  4 F 2.17
Se 0.5000 0.5000 0.0000  2 Sc 2.63
F 0.0000 0.5000 0.5000  2 Sc 2.17
F 0.5000 0.0000 0.5000  2 Sc 2.17

---

no.,calculated density (kg/m³)
1,2685
2,2420
3,3378